Version 1
Material: MgHgPO
Method: DFT, PBE
State: optimized geometry

Cell lengths 3.2833, 7.0861, 6.3239 Å; angles 90.00, 90.00, 90.00 degrees
With the nearest neighbours (Å) after each atom.
Space group Pmc2_1 (No. 26)
Symmetry-distinct sites (fractional):
1 Mg 0.0000 0.0997 0.0000 [2 per cell]  2 O 1.91-1.92
2 Hg 0.5000 0.3316 0.4053 [2 per cell]  2 O 2.38, 2 P 2.46-2.57
3 P 0.5000 0.3322 0.8110 [2 per cell]  2 Hg 2.46-2.57, 2 Mg 2.61
4 O 0.0000 0.1054 0.3024 [2 per cell]  2 Mg 1.91-1.92

Version 2
Material: MgHgPO
Method: DFT, PBE
State: optimized geometry

Cell lengths 4.4287, 4.4287, 8.9864 Å; angles 90.00, 90.00, 90.00 degrees
With the nearest neighbours (Å) after each atom.
Space group P4/nmm (No. 129, origin choice 2)
Symmetry-distinct sites (fractional):
1 Mg 0.2500 0.7500 0.0000 [2 per cell]  4 P 2.54
2 Hg 0.2500 0.2500 0.4148 [2 per cell]  4 O 2.34, 1 P 2.49
3 P 0.2500 0.2500 0.1380 [2 per cell]  1 Hg 2.49, 4 Mg 2.54
4 O 0.2500 0.7500 0.5000 [2 per cell]  4 Hg 2.34

Which one is most stable, and which one is least stable? version 1 is the most stable of them, while version 2 is the least stable.

Version 1
Material: MgPaHg
Method: DFT, PBE
State: optimized geometry

Cell lengths 6.9302, 6.9302, 6.9302 Å; angles 90.00, 90.00, 90.00 degrees
With the nearest neighbours (Å) after each atom.
Space group F-43m (No. 216)
Symmetry-distinct sites (fractional):
1 Mg 0.0000 0.0000 0.0000 [4 per cell]  4 Hg 3.00
2 Pa 0.0000 0.0000 0.5000 [4 per cell]  4 Hg 3.00
3 Hg 0.2500 0.2500 0.2500 [4 per cell]  4 Pa 3.00, 4 Mg 3.00

Version 2
Material: MgPaHg
Method: DFT, PBE
State: optimized geometry

Cell lengths 7.0852, 7.0852, 7.0852 Å; angles 90.00, 90.00, 90.00 degrees
With the nearest neighbours (Å) after each atom.
Space group F-43m (No. 216)
Symmetry-distinct sites (fractional):
1 Mg 0.0000 0.0000 0.0000 [4 per cell]  4 Pa 3.07
2 Pa 0.2500 0.2500 0.7500 [4 per cell]  4 Hg 3.07, 4 Mg 3.07
3 Hg 0.0000 0.0000 0.5000 [4 per cell]  4 Pa 3.07

Which one is most stable, and which one is least stable? version 1 is the most stable of them, while version 2 is the least stable.

Version 1
Material: Mg3Sc2Hg3
Method: DFT, PBE
State: optimized geometry

Cell lengths 6.1005, 4.8843, 6.1873 Å; angles 90.00, 113.78, 90.00 degrees
With the nearest neighbours (Å) after each atom.
Space group Pm (No. 6)
Symmetry-distinct sites (fractional):
1 Mg 0.0000 0.0000 0.0000 [1 per cell]  4 Mg 3.00-3.08, 4 Sc 3.05-3.14, 3 Hg 3.14-3.23
2 Mg 0.2111 0.5000 0.2903 [1 per cell]  6 Hg 2.91-3.23, 2 Mg 3.00, 1 Sc 3.14
3 Mg 0.4911 0.0000 0.9881 [1 per cell]  6 Hg 2.96-3.11, 2 Mg 3.03-3.08, 3 Sc 3.27-3.30
4 Sc 0.6806 0.5000 0.7560 [1 per cell]  6 Hg 2.94-3.18, 5 Mg 3.11-3.27
5 Sc 0.9905 0.0000 0.5040 [1 per cell]  6 Hg 3.00-3.06, 5 Mg 3.05-3.31
6 Hg 0.1843 0.5000 0.8007 [1 per cell]  6 Mg 2.97-3.23, 4 Sc 2.97-3.15
7 Hg 0.4801 0.0000 0.4814 [1 per cell]  5 Mg 2.91-3.23, 4 Sc 2.94-3.06
8 Hg 0.7170 0.5000 0.2568 [1 per cell]  4 Mg 2.94-3.18, 4 Sc 3.00-3.18

Version 2
Material: Mg3Sc2Hg3
Method: DFT, PBE
State: optimized geometry

Cell lengths 6.4254, 6.4254, 4.7803 Å; angles 90.00, 90.00, 120.00 degrees
With the nearest neighbours (Å) after each atom.
Space group P-6m2 (No. 187)
Symmetry-distinct sites (fractional):
1 Mg 0.1703 0.3406 0.0000 [3 per cell]  4 Hg 3.01, 4 Sc 3.05-3.21, 4 Mg 3.14-3.28
2 Sc 0.0000 0.0000 0.5000 [1 per cell]  6 Mg 3.05, 6 Hg 3.21
3 Sc 0.6667 0.3333 0.0000 [1 per cell]  6 Hg 3.03, 6 Mg 3.21
4 Hg 0.0008 0.5004 0.5000 [3 per cell]  4 Mg 3.01, 4 Sc 3.03-3.21, 4 Hg 3.21-3.22

Which one is most stable, and which one is least stable? version 1 is the most stable of them, while version 2 is the least stable.

Version 1
Material: SiNiHgMo
Method: DFT, PBE
State: optimized geometry

Cell lengths 6.3478, 6.3478, 6.3478 Å; angles 90.00, 90.00, 90.00 degrees
With the nearest neighbours (Å) after each atom.
Space group F-43m (No. 216)
Symmetry-distinct sites (fractional):
1 Si 0.0000 0.0000 0.0000 [4 per cell]  4 Ni 2.75, 4 Hg 2.75
2 Ni 0.2500 0.2500 0.2500 [4 per cell]  4 Mo 2.75, 4 Si 2.75
3 Hg 0.2500 0.2500 0.7500 [4 per cell]  4 Mo 2.75, 4 Si 2.75
4 Mo 0.0000 0.0000 0.5000 [4 per cell]  4 Hg 2.75, 4 Ni 2.75

Version 2
Material: SiNiHgMo
Method: DFT, PBE
State: optimized geometry

Cell lengths 6.2271, 6.2271, 6.2271 Å; angles 90.00, 90.00, 90.00 degrees
With the nearest neighbours (Å) after each atom.
Space group F-43m (No. 216)
Symmetry-distinct sites (fractional):
1 Si 0.0000 0.0000 0.0000 [4 per cell]  4 Ni 2.70, 4 Mo 2.70
2 Ni 0.2500 0.2500 0.2500 [4 per cell]  4 Hg 2.70, 4 Si 2.70
3 Hg 0.0000 0.0000 0.5000 [4 per cell]  4 Mo 2.70, 4 Ni 2.70
4 Mo 0.2500 0.2500 0.7500 [4 per cell]  4 Si 2.70, 4 Hg 2.70

Which one is most stable, and which one is least stable? version 2 is the most stable of them, while version 1 is the least stable.

Version 1
Material: TlNiHgMo
Method: DFT, PBE
State: optimized geometry

Cell lengths 6.6045, 6.6045, 6.6045 Å; angles 90.00, 90.00, 90.00 degrees
With the nearest neighbours (Å) after each atom.
Space group F-43m (No. 216)
Symmetry-distinct sites (fractional):
1 Tl 0.0000 0.0000 0.0000 [4 per cell]  4 Mo 2.86, 4 Ni 2.86
2 Ni 0.2500 0.2500 0.2500 [4 per cell]  4 Hg 2.86, 4 Tl 2.86
3 Hg 0.0000 0.0000 0.5000 [4 per cell]  4 Mo 2.86, 4 Ni 2.86
4 Mo 0.2500 0.2500 0.7500 [4 per cell]  4 Hg 2.86, 4 Tl 2.86

Version 2
Material: TlNiHgMo
Method: DFT, PBE
State: optimized geometry

Cell lengths 6.6433, 6.6433, 6.6433 Å; angles 90.00, 90.00, 90.00 degrees
With the nearest neighbours (Å) after each atom.
Space group F-43m (No. 216)
Symmetry-distinct sites (fractional):
1 Tl 0.0000 0.0000 0.0000 [4 per cell]  4 Hg 2.88, 4 Ni 2.88
2 Ni 0.2500 0.2500 0.2500 [4 per cell]  4 Tl 2.88, 4 Mo 2.88
3 Hg 0.2500 0.2500 0.7500 [4 per cell]  4 Tl 2.88, 4 Mo 2.88
4 Mo 0.0000 0.0000 0.5000 [4 per cell]  4 Hg 2.88, 4 Ni 2.88

Which one is most stable, and which one is least stable? version 1 is the most stable of them, while version 2 is the least stable.

Version 1
Material: ZnNiHgMo
Method: DFT, PBE
State: optimized geometry

Cell lengths 6.3045, 6.3045, 6.3045 Å; angles 90.00, 90.00, 90.00 degrees
With the nearest neighbours (Å) after each atom.
Space group F-43m (No. 216)
Symmetry-distinct sites (fractional):
1 Zn 0.0000 0.0000 0.0000 [4 per cell]  4 Mo 2.73, 4 Ni 2.73
2 Ni 0.2500 0.2500 0.2500 [4 per cell]  4 Hg 2.73, 4 Zn 2.73
3 Hg 0.0000 0.0000 0.5000 [4 per cell]  4 Mo 2.73, 4 Ni 2.73
4 Mo 0.2500 0.2500 0.7500 [4 per cell]  4 Hg 2.73, 4 Zn 2.73

Version 2
Material: ZnNiHgMo
Method: DFT, PBE
State: optimized geometry

Cell lengths 6.3139, 6.3139, 6.3139 Å; angles 90.00, 90.00, 90.00 degrees
With the nearest neighbours (Å) after each atom.
Space group F-43m (No. 216)
Symmetry-distinct sites (fractional):
1 Zn 0.0000 0.0000 0.0000 [4 per cell]  4 Hg 2.73, 4 Ni 2.73
2 Ni 0.2500 0.2500 0.2500 [4 per cell]  4 Zn 2.73, 4 Mo 2.73
3 Hg 0.2500 0.2500 0.7500 [4 per cell]  4 Mo 2.73, 4 Zn 2.73
4 Mo 0.0000 0.0000 0.5000 [4 per cell]  4 Ni 2.73, 4 Hg 2.73

Which one is most stable, and which one is least stable? version 1 is the most stable of them, while version 2 is the least stable.